1.
First-principles (PBE) data for crystalline SbPPbI2 at its relaxed geometry, as listed in the Alexandria database.

extended XYZ file:
```
5
Lattice="6.169 0.000 0.000 0.000 6.169 0.000 0.000 0.000 6.183" Properties=species:S:1:pos:R:3 pbc="T T T"
Sb 0.000 0.000 0.000
P 3.084 3.084 0.000
Pb 0.000 0.000 3.091
I 0.000 3.084 3.091
I 3.084 0.000 3.091
```

Summary:
Uncorrected formation energy ... 0.8025 eV per atom
Symmetry ... P4/mmm, No. 123


2.
First-principles (PBE) data for crystalline HoTmTe at its relaxed geometry, as listed in the Alexandria database.

extended XYZ file:
```
3
Lattice="5.122 0.000 0.000 -2.561 4.435 0.000 0.000 0.000 3.912" Properties=species:S:1:pos:R:3 pbc="T T T"
Ho 0.000 0.000 0.000
Tm 0.000 2.957 1.976
Te 2.561 1.478 2.878
```

Summary:
Uncorrected formation energy ... -0.4505 eV per atom
Symmetry ... P3m1, No. 156


3.
First-principles (PBE) data for crystalline Ba2NaY at its relaxed geometry, as listed in the Alexandria database.

extended XYZ file:
```
4
Lattice="1.916 1.106 14.075 -1.916 1.106 14.075 0.000 -2.212 14.075" Properties=species:S:1:pos:R:3 pbc="T T T"
Ba 0.000 0.000 3.569
Ba 0.000 0.000 38.657
Na 0.000 0.000 21.113
Y 0.000 0.000 0.000
```

Summary:
Symmetry ... R-3m, No. 166
Formation energy ... 0.33 eV/atom


4.
First-principles (PBE) data for crystalline K2TlCr at its relaxed geometry, as listed in the Alexandria database.

extended XYZ file:
```
4
Lattice="3.300 -5.422 0.000 3.300 5.422 0.000 0.000 0.000 4.018" Properties=species:S:1:pos:R:3 pbc="T T T"
K 1.650 2.711 0.000
K 1.650 -2.711 0.000
Tl 0.000 0.000 2.009
Cr 3.300 0.000 2.009
```

Summary:
Symmetry ... Cmmm, No. 65
Formation energy ... 0.61 eV/atom


Looking at energy relative to the lowest polymorph listed for this composition for the records above, in order, we have 0.503 0.363 0.148 0.182 eV per atom.